# 1
This record from Alexandria via LeMat-Bulk describes a PBEsol-optimized structure of Mg3IBr. The functional is meta-GGA SCAN.

Properties
Symmetry = No. 221
Uncorrected energy = -13.820 eV/atom

Lattice parameters (Å, degrees): 5.8895 5.8895 5.8895 90.00 90.00 90.00
Atoms (fractional coordinates):
Mg (0.0000, 0.0000, 0.5000)
Mg (0.0000, 0.5000, 0.0000)
Mg (0.5000, 0.0000, 0.0000)
I (0.0000, 0.0000, 0.0000)
Br (0.5000, 0.5000, 0.5000)

# 2
This record from Alexandria via LeMat-Bulk describes a PBEsol-optimized structure of MnIBrN2. The functional is meta-GGA SCAN.

Properties
Symmetry = No. 123
Uncorrected energy = -17.480 eV/atom

Lattice parameters (Å, degrees): 3.7922 3.7922 5.5028 90.00 90.00 90.00
Atoms (fractional coordinates):
Mn (0.0000, 0.0000, 0.0000)
I (0.0000, 0.0000, 0.5000)
Br (0.5000, 0.5000, 0.5000)
N (0.0000, 0.5000, 0.0000)
N (0.5000, 0.0000, 0.0000)

# 3
This record from Alexandria via LeMat-Bulk describes a PBEsol-optimized structure of MnSiI2Br. The functional is meta-GGA SCAN.

Properties
Symmetry = No. 123
Uncorrected energy = -24.120 eV/atom

Lattice parameters (Å, degrees): 5.5822 5.5822 5.0953 90.00 90.00 90.00
Atoms (fractional coordinates):
Mn (0.0000, 0.0000, 0.0000)
Si (0.5000, 0.5000, 0.5000)
I (0.0000, 0.5000, 0.5000)
I (0.5000, 0.0000, 0.5000)
Br (0.5000, 0.5000, 0.0000)

# 4
This record from Alexandria via LeMat-Bulk describes a PBEsol-optimized structure of Mo3IBr. The functional is meta-GGA SCAN.

Properties
Symmetry = No. 221
Uncorrected energy = -29.712 eV/atom

Lattice parameters (Å, degrees): 4.8854 4.8854 4.8854 90.00 90.00 90.00
Atoms (fractional coordinates):
Mo (0.0000, 0.0000, 0.5000)
Mo (0.0000, 0.5000, 0.0000)
Mo (0.5000, 0.0000, 0.0000)
I (0.0000, 0.0000, 0.0000)
Br (0.5000, 0.5000, 0.5000)

# 5
This record from Alexandria via LeMat-Bulk describes a PBEsol-optimized structure of MoI2BrO. The functional is meta-GGA SCAN.

Properties
Symmetry = No. 123
Uncorrected energy = -25.770 eV/atom

Lattice parameters (Å, degrees): 5.7478 5.7478 3.9094 90.00 90.00 90.00
Atoms (fractional coordinates):
Mo (0.0000, 0.0000, 0.0000)
I (0.0000, 0.5000, 0.5000)
I (0.5000, 0.0000, 0.5000)
Br (0.5000, 0.5000, 0.5000)
O (0.5000, 0.5000, 0.0000)

# 6
This record from Alexandria via LeMat-Bulk describes a PBEsol-optimized structure of MoPd2IBr. The functional is meta-GGA SCAN.

Properties
Symmetry = No. 123
Uncorrected energy = -30.409 eV/atom

Lattice parameters (Å, degrees): 4.7479 4.7479 4.9568 90.00 90.00 90.00
Atoms (fractional coordinates):
Mo (0.0000, 0.0000, 0.0000)
Pd (0.0000, 0.5000, 0.5000)
Pd (0.5000, 0.0000, 0.5000)
I (0.5000, 0.5000, 0.0000)
Br (0.0000, 0.0000, 0.5000)

# 7
This record from Alexandria via LeMat-Bulk describes a PBEsol-optimized structure of TeMoI2Br. The functional is meta-GGA SCAN.

Properties
Symmetry = No. 123
Uncorrected energy = -32.699 eV/atom

Lattice parameters (Å, degrees): 5.3672 5.3672 5.1833 90.00 90.00 90.00
Atoms (fractional coordinates):
Te (0.0000, 0.0000, 0.0000)
Mo (0.0000, 0.0000, 0.5000)
I (0.0000, 0.5000, 0.5000)
I (0.5000, 0.0000, 0.5000)
Br (0.5000, 0.5000, 0.0000)

# 8
This record from Alexandria via LeMat-Bulk describes a PBEsol-optimized structure of NiIBrN2. The functional is meta-GGA SCAN.

Properties
Symmetry = No. 123
Uncorrected energy = -16.867 eV/atom

Lattice parameters (Å, degrees): 3.9118 3.9118 5.6495 90.00 90.00 90.00
Atoms (fractional coordinates):
Ni (0.0000, 0.0000, 0.0000)
I (0.0000, 0.0000, 0.5000)
Br (0.5000, 0.5000, 0.5000)
N (0.0000, 0.5000, 0.0000)
N (0.5000, 0.0000, 0.0000)